Below is RbGaSb2Pb at its PBEsol-relaxed geometry, with properties calculated at the meta-GGA SCAN level.

Calculated values
* DOS at the Fermi energy: 4.85 states/eV/f.u.
* VASP energy: -1.32743 hartree per atom
* space group: P4/mmm

Cell: 5.8946 5.9558 5.9558 Å, 90.00 90.00 90.00°
Positions (direct):
Pb 0.5000 0.0000 0.0000
Sb 0.0000 0.0000 0.5000
Sb 0.0000 0.5000 0.0000
Ga 0.5000 0.5000 0.5000
Rb 0.0000 0.0000 0.0000

=====

Below is BeTc2 at its PBEsol-relaxed geometry, with properties calculated at the meta-GGA SCAN level.

Calculated values
* energy of formation from the pure elements: -1.01 eV/f.u.
* DOS at the Fermi energy: 1.61 states/eV/f.u.
* space group: I4/mcm
* offset from the most stable computed form: 0.0 kJ/mol of formula units

Cell: 4.5279 4.5342 4.5342 Å, 75.56 60.05 60.05°
Positions (direct):
Be 0.2500 0.0000 0.0000
Be 0.7500 0.0000 0.0000
Tc 0.8393 0.5000 0.8213
Tc 0.1607 0.5000 0.1787
Tc 0.3393 0.8213 0.5000
Tc 0.6607 0.1787 0.5000

=====

Below is Zn2Ni3 at its PBEsol-relaxed geometry, with properties calculated at the meta-GGA SCAN level.

Calculated values
* energy of formation from the pure elements: -0.33 eV/f.u.
* DOS at the Fermi energy: 4.26 states/eV/f.u.
* space group: Fdd2

Cell: 4.4553 4.7806 6.4296 Å, 99.29 110.27 62.23°
Positions (direct):
Ni 0.7325 0.9251 0.1982
Ni 0.4595 0.0749 0.8018
Ni 0.7844 0.4251 0.3018
Ni 0.9077 0.5749 0.6982
Ni 0.0666 0.0000 0.0000
Ni 0.3166 0.5000 0.5000
Zn 0.1968 0.4481 0.1003
Zn 0.5446 0.5519 0.8997
Zn 0.3465 0.9481 0.3997
Zn 0.8949 0.0519 0.6003

=====

Below is MgPt2Rh at its PBEsol-relaxed geometry, with properties calculated at the meta-GGA SCAN level.

Calculated values
* energy of formation from the pure elements: -2.03 eV/f.u.
* DOS at the Fermi energy: 3.16 states/eV/f.u.
* space group: I4/mmm

Cell: 3.8863 3.8863 4.7715 Å, 114.03 114.03 90.00°
Each line ends with the local moment (μB).
Positions (direct):
Mg 0.5000 0.5000 0.0000  -0.01
Rh 0.0000 0.0000 0.0000  0.66
Pt 0.7500 0.2500 0.5000  0.21
Pt 0.2500 0.7500 0.5000  0.21

=====

Below is TiH3Br at its PBEsol-relaxed geometry, with properties calculated at the meta-GGA SCAN level.

Calculated values
* DOS at the Fermi energy: 3.36 states/eV/f.u.
* VASP energy: -0.28548 hartree per atom
* space group: Pm-3m

Cell: 3.7184 3.7184 3.7184 Å, 90.00 90.00 90.00°
Each line ends with the local moment (μB).
Positions (direct):
H 0.0000 0.5000 0.0000  -0.01
H 0.0000 0.0000 0.5000  -0.01
H 0.5000 0.0000 0.0000  -0.01
Br 0.0000 0.0000 0.0000  0.04
Ti 0.5000 0.5000 0.5000  1.72

=====

Below is Cr2BBrCl at its PBEsol-relaxed geometry, with properties calculated at the meta-GGA SCAN level.

Calculated values
* DOS at the Fermi energy: 1.21 states/eV/f.u.
* VASP energy: -0.48435 hartree per atom
* space group: P4/mmm

Cell: 4.1481 4.9471 4.9471 Å, 90.00 90.00 90.00°
Each line ends with the local moment (μB).
Positions (direct):
Cr 0.0000 0.0000 0.5000  4.22
Cr 0.0000 0.5000 0.0000  4.22
B 0.5000 0.0000 0.0000  -0.33
Br 0.0000 0.0000 0.0000  -0.07
Cl 0.5000 0.5000 0.5000  0.03

=====

Below is KCuPd3 at its PBEsol-relaxed geometry, with properties calculated at the meta-GGA SCAN level.

Calculated values
* energy of formation from the pure elements: 8.54 eV/f.u.
* DOS at the Fermi energy: 2.40 states/eV/f.u.
* space group: Pm-3m

Cell: 4.7777 4.7777 4.7777 Å, 90.00 90.00 90.00°
Positions (direct):
K 0.0000 0.0000 0.0000
Cu 0.5000 0.5000 0.5000
Pd 0.0000 0.5000 0.0000
Pd 0.0000 0.0000 0.5000
Pd 0.5000 0.0000 0.0000

=====

Below is CoCu2TeC at its PBEsol-relaxed geometry, with properties calculated at the meta-GGA SCAN level.

Calculated values
* DOS at the Fermi energy: 1.63 states/eV/f.u.
* VASP energy: -0.66441 hartree per atom
* space group: P4/mmm

Cell: 3.4790 4.5671 4.5671 Å, 90.00 90.00 90.00°
Each line ends with the local moment (μB).
Positions (direct):
C 0.5000 0.0000 0.0000  -0.08
Te 0.5000 0.5000 0.5000  0.03
Co 0.0000 0.0000 0.0000  0.99
Cu 0.0000 0.0000 0.5000  0.03
Cu 0.0000 0.5000 0.0000  0.03

=====

Below is Zr2TeHS at its PBEsol-relaxed geometry, with properties calculated at the meta-GGA SCAN level.

Calculated values
* DOS at the Fermi energy: 2.21 states/eV/f.u.
* VASP energy: -0.83246 hartree per atom
* space group: P4/mmm

Cell: 3.7645 4.6863 4.6863 Å, 90.00 90.00 90.00°
Positions (direct):
H 0.0000 0.0000 0.0000
S 0.5000 0.5000 0.5000
Te 0.5000 0.0000 0.0000
Zr 0.0000 0.0000 0.5000
Zr 0.0000 0.5000 0.0000

=====

Below is CoHS2 at its PBEsol-relaxed geometry, with properties calculated at the meta-GGA SCAN level.

Calculated values
* DOS at the Fermi energy: 2.33 states/eV/f.u.
* space group: R-3m
* offset from the most stable computed form: 480.5 kJ/mol of formula units

Cell: 2.7215 2.7215 7.0300 Å, 78.84 78.84 60.00°
Positions (direct):
H 0.5000 0.5000 0.5000
S 0.8993 0.8993 0.3022
S 0.1007 0.1007 0.6978
Co 0.0000 0.0000 0.0000

=====

Below is RuPtBr at its PBEsol-relaxed geometry, with properties calculated at the meta-GGA SCAN level.

Calculated values
* DOS at the Fermi energy: 4.22 states/eV/f.u.
* VASP energy: -1.49780 hartree per atom
* space group: I4mm

Cell: 2.9193 2.9193 6.3021 Å, 103.39 103.39 90.00°
Positions (direct):
Ru 0.3338 0.3338 0.6676
Br 0.9727 0.9727 0.9454
Pt 0.6935 0.6935 0.3871

=====

Below is InSi2Ge at its PBEsol-relaxed geometry, with properties calculated at the meta-GGA SCAN level.

Calculated values
* DOS at the Fermi energy: 1.84 states/eV/f.u.
* VASP energy: -0.65565 hartree per atom
* space group: I-42d

Cell: 5.8547 5.8547 6.9603 Å, 114.87 114.87 90.00°
Positions (direct):
Ge 0.7500 0.2500 0.5000
Ge 0.5000 0.5000 0.0000
Si 0.8463 0.3750 0.2500
Si 0.4037 0.8750 0.2500
Si 0.6250 0.5963 0.7500
Si 0.1250 0.1537 0.7500
In 0.2500 0.7500 0.5000
In 0.0000 0.0000 0.0000

=====

Copy entry 8 word for word.
Below is CoCu2TeC at its PBEsol-relaxed geometry, with properties calculated at the meta-GGA SCAN level.

Calculated values
* DOS at the Fermi energy: 1.63 states/eV/f.u.
* VASP energy: -0.66441 hartree per atom
* space group: P4/mmm

Cell: 3.4790 4.5671 4.5671 Å, 90.00 90.00 90.00°
Each line ends with the local moment (μB).
Positions (direct):
C 0.5000 0.0000 0.0000  -0.08
Te 0.5000 0.5000 0.5000  0.03
Co 0.0000 0.0000 0.0000  0.99
Cu 0.0000 0.0000 0.5000  0.03
Cu 0.0000 0.5000 0.0000  0.03